This record from the Alexandria database describes ZrTa2Tc after structural relaxation. The functional is PBE-GGA.

Unit cell a=5.5952 b=5.5952 c=5.5952 alpha=139.34 beta=139.34 gamma=58.86
Closest atoms and distances in Å follow each position.
Positions (direct):
Zr1 0.0000 0.0000 0.0000  4 Tc 2.75
Ta1 0.2500 0.7500 0.5000  4 Ta 2.75
Ta2 0.7500 0.2500 0.5000  4 Ta 2.75
Tc1 0.5000 0.5000 0.0000  4 Zr 2.75

Summary:
The raw total energy comes out at -10.595 eV per atom. The formation energy comes out at 0.06 eV per atom. The calculation puts the energy relative to the lowest polymorph listed for this composition at 272 meV per atom. As for the crystal system: tetragonal. Its volume is 74 Å³ per cell. Its density of states at the Fermi level is 3.900 states/eV/f.u. The space group is I4/mmm.



This record from the Alexandria database describes Rb2ScHgBr6 after structural relaxation. The functional is PBE-GGA.

Unit cell a=7.8918 b=11.3617 c=8.3069 alpha=90.00 beta=90.00 gamma=90.00
Closest atoms and distances in Å follow each position.
Positions (direct):
Rb1 0.2500 0.0193 0.2155  9 Br 3.66-4.00
Rb2 0.2500 0.4807 0.2155  9 Br 3.66-4.00
Rb3 0.7500 0.5193 0.7845  9 Br 3.66-4.00
Rb4 0.7500 0.9807 0.7845  9 Br 3.66-4.00
Sc1 0.2500 0.7500 0.7705  6 Br 2.66-2.68
Sc2 0.7500 0.2500 0.2295  6 Br 2.66-2.68
Hg1 0.2500 0.2500 0.7226  6 Br 3.04-3.09
Hg2 0.7500 0.7500 0.2774  6 Br 3.04-3.09
Br1 0.0067 0.7500 0.5496  1 Sc 2.66
Br2 0.0134 0.7500 0.0015  1 Sc 2.68
Br3 0.2500 0.5152 0.7768  1 Sc 2.67
Br4 0.2500 0.9848 0.7768  1 Sc 2.67
Br5 0.4866 0.7500 0.0015  1 Sc 2.68
Br6 0.4933 0.7500 0.5496  1 Sc 2.66
Br7 0.5067 0.2500 0.4504  1 Sc 2.66
Br8 0.5134 0.2500 0.9985  1 Sc 2.68
Br9 0.7500 0.0152 0.2232  1 Sc 2.67
Br10 0.7500 0.4848 0.2232  1 Sc 2.67
Br11 0.9866 0.2500 0.9985  1 Sc 2.68
Br12 0.9933 0.2500 0.4504  1 Sc 2.66

Summary:
The raw total energy comes out at -3.247 eV per atom. The formation energy (no corrections) is -1.39 eV/atom. As for the crystal system: orthorhombic. Its volume is 745 Å³ per cell. Its density of states at the Fermi level is 4.531 states/eV/f.u. The space group is Pmmn.